No. 1
Entry from Alexandria via LeMat-Bulk: a geometry-optimized CdSn2IrS structure (GGA-PBEsol).

a = 4.906 Å, b = 5.304 Å, c = 5.304 Å
α = 90.00°, β = 90.00°, γ = 90.00°
Last column: magnetic moment on the atom in μB.
Fractional positions:
S: 0.500 0.500 0.500  0.17
Ir: 0.500 0.000 0.000  0.88
Sn: 0.000 0.000 0.500  -0.01
Sn: 0.000 0.500 0.000  -0.01
Cd: 0.000 0.000 0.000  -0.01

Calculated values
- Energy relative to the elements, uncorrected: 1.354 eV per atom

No. 2
Entry from Alexandria via LeMat-Bulk: a geometry-optimized Sr2NiH2 structure (GGA-PBEsol).

a = 5.140 Å, b = 5.222 Å, c = 5.140 Å
α = 119.48°, β = 90.00°, γ = 119.48°
Fractional positions:
Sr: 0.250 0.500 0.750
Sr: 0.750 0.500 0.250
Ni: 0.000 0.000 0.000
H: 0.206 0.411 0.206
H: 0.794 0.589 0.794

No. 3
Entry from Alexandria via LeMat-Bulk: a geometry-optimized RuPtSe2 structure (GGA-PBEsol).

a = 3.164 Å, b = 4.438 Å, c = 4.438 Å
α = 90.00°, β = 90.00°, γ = 90.00°
Fractional positions:
Pt: 0.500 0.500 0.500
Ru: 0.500 0.000 0.000
Se: 0.000 0.000 0.500
Se: 0.000 0.500 0.000

Calculated values
- Offset from the most stable computed form: 0.1575 eV/atom
- Energy relative to the elements, uncorrected: 0.260 eV per atom

No. 4
Entry from Alexandria via LeMat-Bulk: a geometry-optimized TaHgTe2I structure (GGA-PBEsol).

a = 5.335 Å, b = 5.335 Å, c = 5.613 Å
α = 90.00°, β = 90.00°, γ = 90.00°
Fractional positions:
I: 0.000 0.000 0.500
Te: 0.000 0.500 0.000
Te: 0.500 0.000 0.000
Hg: 0.500 0.500 0.500
Ta: 0.000 0.000 0.000

Calculated values
- Energy relative to the elements, uncorrected: 0.116 eV per atom

No. 5
Entry from Alexandria via LeMat-Bulk: a geometry-optimized Co2TcTe structure (GGA-PBEsol).

a = 3.232 Å, b = 3.232 Å, c = 5.282 Å
α = 90.00°, β = 90.00°, γ = 90.00°
Last column: magnetic moment on the atom in μB.
Fractional positions:
Te: 0.500 0.500 0.500  0.00
Co: 0.000 0.000 0.772  0.27
Co: 0.000 0.000 0.228  0.27
Tc: 0.500 0.500 0.000  0.33

Calculated values
- Energy relative to the elements, uncorrected: 0.363 eV per atom

No. 6
Entry from Alexandria via LeMat-Bulk: a geometry-optimized HgBi3Br structure (GGA-PBEsol).

a = 5.664 Å, b = 5.664 Å, c = 5.664 Å
α = 90.00°, β = 90.00°, γ = 90.00°
Fractional positions:
Bi: 0.000 0.500 0.000
Bi: 0.000 0.000 0.500
Bi: 0.500 0.000 0.000
Br: 0.000 0.000 0.000
Hg: 0.500 0.500 0.500

Calculated values
- Energy relative to the elements, uncorrected: 0.772 eV per atom

No. 7
Entry from Alexandria via LeMat-Bulk: a geometry-optimized TiSb2TeMo structure (GGA-PBEsol).

a = 5.137 Å, b = 5.137 Å, c = 5.294 Å
α = 90.00°, β = 90.00°, γ = 90.00°
Last column: magnetic moment on the atom in μB.
Fractional positions:
Sb: 0.000 0.500 0.000  -0.03
Sb: 0.500 0.000 0.000  -0.03
Mo: 0.000 0.000 0.000  0.84
Te: 0.000 0.000 0.500  -0.03
Ti: 0.500 0.500 0.500  1.89

Calculated values
- Energy relative to the elements, uncorrected: 0.852 eV per atom

No. 8
Entry from Alexandria via LeMat-Bulk: a geometry-optimized SbPb3 structure (GGA-PBEsol).

a = 3.478 Å, b = 5.868 Å, c = 6.060 Å
α = 100.87°, β = 106.68°, γ = 90.00°
Fractional positions:
Pb: 0.500 0.500 0.000
Pb: 0.746 0.243 0.491
Pb: 0.254 0.757 0.509
Sb: 0.000 0.000 0.000

Calculated values
- Energy relative to the elements, uncorrected: 0.046 eV per atom

No. 9
Entry from Alexandria via LeMat-Bulk: a geometry-optimized Ti2Cu structure (GGA-PBEsol).

a = 7.981 Å, b = 7.981 Å, c = 7.981 Å
α = 60.00°, β = 60.00°, γ = 60.00°
Last column: magnetic moment on the atom in μB.
Fractional positions:
Ti: 0.125 0.125 0.125  0.04
Ti: 0.125 0.125 0.625  0.04
Ti: 0.125 0.625 0.125  0.04
Ti: 0.625 0.125 0.125  0.04
Ti: 0.684 0.684 0.316  0.26
Ti: 0.316 0.316 0.684  0.26
Ti: 0.684 0.316 0.684  0.26
Ti: 0.316 0.684 0.316  0.26
Ti: 0.684 0.316 0.316  0.26
Ti: 0.316 0.684 0.684  0.26
Ti: 0.566 0.566 0.934  0.26
Ti: 0.934 0.934 0.566  0.26
Ti: 0.566 0.934 0.566  0.26
Ti: 0.934 0.566 0.934  0.26
Ti: 0.566 0.934 0.934  0.26
Ti: 0.934 0.566 0.566  0.26
Cu: 0.915 0.915 0.915  0.03
Cu: 0.915 0.915 0.255  0.03
Cu: 0.915 0.255 0.915  0.03
Cu: 0.255 0.915 0.915  0.03
Cu: 0.335 0.335 0.335  0.03
Cu: 0.335 0.335 0.995  0.03
Cu: 0.335 0.995 0.335  0.03
Cu: 0.995 0.335 0.335  0.03

No. 10
Entry from Alexandria via LeMat-Bulk: a geometry-optimized CaTl2Os structure (GGA-PBEsol).

a = 3.347 Å, b = 3.347 Å, c = 7.586 Å
α = 90.00°, β = 90.00°, γ = 90.00°
Fractional positions:
Ca: 0.500 0.500 0.000
Os: 0.500 0.500 0.500
Tl: 0.000 0.000 0.712
Tl: 0.000 0.000 0.288

No. 11
Entry from Alexandria via LeMat-Bulk: a geometry-optimized Tl2HgW structure (GGA-PBEsol).

a = 4.185 Å, b = 4.185 Å, c = 5.532 Å
α = 112.23°, β = 112.23°, γ = 90.00°
Fractional positions:
Hg: 0.000 0.000 0.000
Tl: 0.750 0.250 0.500
Tl: 0.250 0.750 0.500
W: 0.500 0.500 0.000

Calculated values
- Offset from the most stable computed form: 0.0000 eV/atom

No. 12
Entry from Alexandria via LeMat-Bulk: a geometry-optimized TiNbMo2 structure (GGA-PBEsol).

a = 4.473 Å, b = 4.473 Å, c = 4.473 Å
α = 60.00°, β = 60.00°, γ = 60.00°
Fractional positions:
Mo: 0.250 0.250 0.250
Mo: 0.750 0.750 0.750
Nb: 0.500 0.500 0.500
Ti: 0.000 0.000 0.000

No. 13
Entry from Alexandria via LeMat-Bulk: a geometry-optimized Ni3Bi2S2 structure (GGA-PBEsol).

a = 5.441 Å, b = 5.441 Å, c = 5.441 Å
α = 62.83°, β = 62.83°, γ = 62.83°
Fractional positions:
Ni: 0.000 0.000 0.500
Ni: 0.500 0.000 0.000
Ni: 0.000 0.500 0.000
S: 0.725 0.725 0.725
S: 0.275 0.275 0.275
Bi: 0.500 0.500 0.500
Bi: 0.000 0.000 0.000

Calculated values
- Offset from the most stable computed form: 0.0475 eV/atom
- Energy relative to the elements, uncorrected: -0.305 eV per atom

No. 14
Entry from Alexandria via LeMat-Bulk: a geometry-optimized RbSb2PbI structure (GGA-PBEsol).

a = 5.905 Å, b = 5.905 Å, c = 6.140 Å
α = 90.00°, β = 90.00°, γ = 90.00°
Last column: magnetic moment on the atom in μB.
Fractional positions:
Pb: 0.500 0.500 0.500  -0.01
I: 0.000 0.000 0.500  0.04
Rb: 0.000 0.000 0.000  0.01
Sb: 0.000 0.500 0.000  0.08
Sb: 0.500 0.000 0.000  0.08

Calculated values
- Energy relative to the elements, uncorrected: 0.956 eV per atom

No. 15
Entry from Alexandria via LeMat-Bulk: a geometry-optimized CsNaAsBr2 structure (GGA-PBEsol).

a = 5.597 Å, b = 5.653 Å, c = 5.653 Å
α = 90.00°, β = 90.00°, γ = 90.00°
Last column: magnetic moment on the atom in μB.
Fractional positions:
Cs: 0.500 0.500 0.500  0.02
Na: 0.000 0.000 0.000  0.02
As: 0.500 0.000 0.000  1.16
Br: 0.000 0.000 0.500  0.12
Br: 0.000 0.500 0.000  0.12

Calculated values
- Energy relative to the elements, uncorrected: -0.573 eV per atom

No. 16
Entry from Alexandria via LeMat-Bulk: a geometry-optimized SrBi2Mo structure (GGA-PBEsol).

a = 5.164 Å, b = 5.164 Å, c = 5.164 Å
α = 60.00°, β = 60.00°, γ = 60.00°
Last column: magnetic moment on the atom in μB.
Fractional positions:
Sr: 0.000 0.000 0.000  0.00
Mo: 0.500 0.500 0.500  0.56
Bi: 0.250 0.250 0.250  -0.02
Bi: 0.750 0.750 0.750  -0.02

No. 17
Entry from Alexandria via LeMat-Bulk: a geometry-optimized SbPb2Se structure (GGA-PBEsol).

a = 3.706 Å, b = 5.306 Å, c = 5.370 Å
α = 90.00°, β = 90.00°, γ = 90.00°
Fractional positions:
Pb: 0.000 0.000 0.000
Pb: 0.500 0.000 0.500
Sb: 0.500 0.500 0.000
Se: 0.000 0.500 0.500

Calculated values
- Offset from the most stable computed form: 0.2085 eV/atom
- Energy relative to the elements, uncorrected: 0.018 eV per atom

No. 18
Entry from Alexandria via LeMat-Bulk: a geometry-optimized LiTiMnO4 structure (GGA-PBEsol).

a = 5.770 Å, b = 5.770 Å, c = 5.770 Å
α = 89.17°, β = 59.42°, γ = 118.48°
Last column: magnetic moment on the atom in μB.
Fractional positions:
Li: 0.750 0.875 0.375  0.00
Li: 0.250 0.125 0.625  0.00
Ti: 0.500 0.000 0.000  -0.21
Ti: 0.000 0.500 0.000  -0.21
Mn: 0.500 0.500 0.000  2.09
Mn: 0.000 0.500 0.500  2.09
O: 0.479 0.739 0.782  0.02
O: 0.021 0.739 0.240  0.02
O: 0.979 0.261 0.760  0.02
O: 0.521 0.261 0.218  0.02
O: 0.470 0.727 0.243  0.02
O: 0.030 0.287 0.243  0.02
O: 0.530 0.273 0.757  0.02
O: 0.970 0.713 0.757  0.02

Calculated values
- Offset from the most stable computed form: 0.0000 eV/atom
- Energy relative to the elements, uncorrected: -2.357 eV per atom

No. 19
Entry from Alexandria via LeMat-Bulk: a geometry-optimized Mg2InCu2 structure (GGA-PBEsol).

a = 3.300 Å, b = 3.300 Å, c = 8.808 Å
α = 100.80°, β = 100.80°, γ = 90.00°
Fractional positions:
Mg: 0.377 0.377 0.753
Mg: 0.623 0.623 0.247
Cu: 0.250 0.750 0.500
Cu: 0.750 0.250 0.500
In: 0.000 0.000 0.000

No. 20
Entry from Alexandria via LeMat-Bulk: a geometry-optimized CaTaPb2 structure (GGA-PBEsol).

a = 3.172 Å, b = 5.296 Å, c = 5.943 Å
α = 93.27°, β = 105.48°, γ = 90.00°
Fractional positions:
Ca: 0.247 0.781 0.494
Pb: 0.994 0.961 0.987
Pb: 0.759 0.289 0.518
Ta: 0.500 0.470 0.000

Calculated E, -17.2; -17.8; -23.8; -21.4; -28.8; -11.4; -28.5; -16.4; -168.4; -18.3; -16.0; -43.0; -37.9; -11.1; -14.1; -21.3; -16.3; -115.1; -14.9; -21.5 eV/cell (same order as the records).